[1]
DFT (PBE) results for a geometry-optimized Zr3InPd12 structure.

abc: 4.034 4.034 16.159
angles: 90.00 90.00 90.00
Atoms (fractional coordinates):
Zr 0.000 0.000 0.000
Zr 0.000 0.000 0.253
Zr 0.000 0.000 0.747
In 0.000 0.000 0.500
Pd 0.000 0.500 0.124
Pd 0.000 0.500 0.372
Pd 0.000 0.500 0.628
Pd 0.000 0.500 0.876
Pd 0.500 0.000 0.124
Pd 0.500 0.000 0.372
Pd 0.500 0.000 0.628
Pd 0.500 0.000 0.876
Pd 0.500 0.500 0.000
Pd 0.500 0.500 0.248
Pd 0.500 0.500 0.500
Pd 0.500 0.500 0.752

Output
Crystal system: tetragonal
SG: No. 123

[2]
DFT (PBE) results for a geometry-optimized KHg2Pd2 structure.

abc: 8.325 8.325 3.082
angles: 90.00 90.00 90.00
Atoms (fractional coordinates):
K 0.000 0.000 0.000
K 0.500 0.500 0.000
Hg 0.170 0.330 0.500
Hg 0.330 0.830 0.500
Hg 0.670 0.170 0.500
Hg 0.830 0.670 0.500
Pd 0.123 0.623 0.000
Pd 0.377 0.123 0.000
Pd 0.623 0.877 0.000
Pd 0.877 0.377 0.000

Output
Crystal system: tetragonal
SG: No. 127

[3]
DFT (PBE) results for a geometry-optimized Tb2ScTl4 structure.

abc: 6.414 6.414 6.414
angles: 112.24 112.24 104.06
Atoms (fractional coordinates):
Tb 0.000 0.500 0.500
Tb 0.500 0.000 0.500
Sc 0.000 0.000 0.000
Tl 0.000 0.000 0.500
Tl 0.000 0.500 0.000
Tl 0.500 0.000 0.000
Tl 0.500 0.500 0.500

Output
Crystal system: tetragonal
SG: No. 139

[4]
DFT (PBE) results for a geometry-optimized Mn2Hg3 structure.

abc: 4.643 4.643 5.673
angles: 90.00 90.00 120.00
Atoms (fractional coordinates):
Mn 0.333 0.667 0.361
Mn 0.667 0.333 0.639
Hg 0.000 0.000 0.500
Hg 0.333 0.667 0.862
Hg 0.667 0.333 0.138

Output
Crystal system: trigonal
SG: No. 164

Number 1: calculated formation energy -743 meV/atom. Number 2: calculated formation energy -197 meV/atom. Number 3: calculated formation energy -206 meV/atom. Number 4: calculated formation energy 309 meV/atom.